Record 1
The following is a GGA-PBE calculation of crystalline KAlRh2 at its relaxed geometry, from Alexandria.

Structure (extended XYZ):
```
4
Lattice="4.014 -1.443 0.000 4.014 1.443 0.000 -3.184 0.000 7.175" Properties=species:S:1:pos:R:3 pbc="T T T"
K 0.000 0.000 0.000
Al 4.504 0.000 3.550
Rh -1.167 0.000 4.656
Rh 2.153 0.000 2.456
```

Properties
calculated volume	83.1	Å³/cell
energy of formation from the pure elements	-15	kJ/mol of formula units
magnetization	0.000	μB per atom


Record 2
The following is a GGA-PBE calculation of crystalline KAlRh3 at its relaxed geometry, from Alexandria.

Structure (extended XYZ):
```
5
Lattice="4.659 0.000 0.000 0.000 4.659 0.000 0.000 0.000 4.659" Properties=species:S:1:pos:R:3 pbc="T T T"
K 0.000 0.000 0.000
Al 2.330 2.330 2.330
Rh 0.000 2.330 2.330
Rh 2.330 0.000 2.330
Rh 2.330 2.330 0.000
```

Properties
calculated volume	101.2	Å³/cell
energy of formation from the pure elements	251	kJ/mol of formula units
magnetization	0.284	μB per atom


Record 3
The following is a GGA-PBE calculation of crystalline KAlRh2 at its relaxed geometry, from Alexandria.

Structure (extended XYZ):
```
4
Lattice="2.954 0.000 0.000 0.000 4.541 0.000 0.000 0.000 5.190" Properties=species:S:1:pos:R:3 pbc="T T T"
K 0.000 0.000 0.000
Al 1.477 0.000 2.595
Rh 0.000 2.270 2.595
Rh 1.477 2.270 0.000
```

Properties
calculated volume	69.6	Å³/cell
energy of formation from the pure elements	193	kJ/mol of formula units
magnetization	0.000	μB per atom


Record 4
The following is a GGA-PBE calculation of crystalline KAlRh2 at its relaxed geometry, from Alexandria.

Structure (extended XYZ):
```
4
Lattice="1.502 0.867 9.018 -1.502 0.867 9.018 0.000 -1.735 9.018" Properties=species:S:1:pos:R:3 pbc="T T T"
K 0.000 0.000 0.000
Al 0.000 0.000 13.527
Rh 0.000 0.000 6.299
Rh 0.000 0.000 20.754
```

Properties
calculated volume	70.5	Å³/cell
energy of formation from the pure elements	-27	kJ/mol of formula units
magnetization	0.000	μB per atom


Among the records above, which one has the lowest calculated volume? number 3


Copy entry 1 word for word.
The following is a GGA-PBE calculation of crystalline KAlRh2 at its relaxed geometry, from Alexandria.

Structure (extended XYZ):
```
4
Lattice="4.014 -1.443 0.000 4.014 1.443 0.000 -3.184 0.000 7.175" Properties=species:S:1:pos:R:3 pbc="T T T"
K 0.000 0.000 0.000
Al 4.504 0.000 3.550
Rh -1.167 0.000 4.656
Rh 2.153 0.000 2.456
```

Properties
calculated volume	83.1	Å³/cell
energy of formation from the pure elements	-15	kJ/mol of formula units
magnetization	0.000	μB per atom


What is the calculated volume in the fourth record? 70.5 Å³/cell